Record 1
# PmNd2Al6 | Alexandria | PBE | relaxed
# * E_form: -4.3 eV/f.u.
# * total magnetization: 0.0 Bohr magnetons per cell
data_PmNd2Al6
_chemical_formula_sum 'Pm1 Nd2 Al6'
_space_group_name_H-M_alt 'P 6/m m m'
_space_group_IT_number 191
_space_group_name_Hall '-P 6 2'
_cell_length_a 7.9662
_cell_length_b 7.9662
_cell_length_c 3.7254
_cell_angle_alpha 90.00
_cell_angle_beta 90.00
_cell_angle_gamma 120.00
loop_
_atom_site_label
_atom_site_type_symbol
_atom_site_fract_x
_atom_site_fract_y
_atom_site_fract_z
_atom_site_occupancy
Pm1 Pm 0.0000 0.0000 0.0000 1
Nd1 Nd 0.3333 0.6667 0.0000 1
Al1 Al 0.0000 0.3329 0.5000 1

Record 2
# LaNdAu | Alexandria | PBE | relaxed
# * E_form: -1.5 eV/f.u.
# * total magnetization: 1.6 Bohr magnetons per cell
data_LaNdAu
_chemical_formula_sum 'La2 Nd2 Au2'
_space_group_name_H-M_alt 'I 4 m m'
_space_group_IT_number 107
_space_group_name_Hall 'I 4 -2'
_cell_length_a 3.778
_cell_length_b 3.778
_cell_length_c 12.614
_cell_angle_alpha 90.00
_cell_angle_beta 90.00
_cell_angle_gamma 90.00
loop_
_atom_site_label
_atom_site_type_symbol
_atom_site_fract_x
_atom_site_fract_y
_atom_site_fract_z
_atom_site_occupancy
La1 La 0.000 0.000 0.000 1
Nd1 Nd 0.000 0.000 0.288 1
Au1 Au 0.000 0.000 0.650 1

Record 3
# Hf2MnCr | Alexandria | PBE | relaxed
# * E_form: 2.4 eV/f.u.
# * total magnetization: 15.4 Bohr magnetons per cell
data_Hf2MnCr
_chemical_formula_sum 'Hf8 Mn4 Cr4'
_space_group_name_H-M_alt 'I -4 2 d'
_space_group_IT_number 122
_space_group_name_Hall 'I -4 2bw'
_cell_length_a 7.031
_cell_length_b 7.031
_cell_length_c 5.780
_cell_angle_alpha 90.00
_cell_angle_beta 90.00
_cell_angle_gamma 90.00
loop_
_atom_site_label
_atom_site_type_symbol
_atom_site_fract_x
_atom_site_fract_y
_atom_site_fract_z
_atom_site_occupancy
Hf1 Hf 0.241 0.750 0.125 1
Mn1 Mn 0.000 0.000 0.000 1
Cr1 Cr 0.000 0.000 0.500 1

Record 4
# ScCoTc2 | Alexandria | PBE | relaxed
# * E_form: 0.1 eV/f.u.
# * total magnetization: 3.1 Bohr magnetons per cell
data_ScCoTc2
_chemical_formula_sum 'Sc2 Co2 Tc4'
_space_group_name_H-M_alt 'I m m 2'
_space_group_IT_number 44
_cell_length_a 3.132
_cell_length_b 4.419
_cell_length_c 8.606
_cell_angle_alpha 90.00
_cell_angle_beta 90.00
_cell_angle_gamma 90.00
loop_
_space_group_symop_operation_xyz
'x,y,z'
'-x,-y,z'
'-x,y,z'
'x,-y,z'
'x+1/2,y+1/2,z+1/2'
'-x+1/2,-y+1/2,z+1/2'
'-x+1/2,y+1/2,z+1/2'
'x+1/2,-y+1/2,z+1/2'
loop_
_atom_site_label
_atom_site_type_symbol
_atom_site_fract_x
_atom_site_fract_y
_atom_site_fract_z
_atom_site_occupancy
Sc1 Sc 0.000 0.000 0.000 1
Co1 Co 0.000 0.500 0.241 1
Tc1 Tc 0.000 0.000 0.500 1
Tc2 Tc 0.000 0.500 0.763 1

Record 5
# CsAlCo3 | Alexandria | PBE | relaxed
# * E_form: 6.0 eV/f.u.
# * total magnetization: 4.9 Bohr magnetons per cell
data_CsAlCo3
_chemical_formula_sum 'Cs1 Al1 Co3'
_space_group_name_H-M_alt 'P m -3 m'
_space_group_IT_number 221
_space_group_name_Hall '-P 4 2 3'
_cell_length_a 4.774
_cell_length_b 4.774
_cell_length_c 4.774
_cell_angle_alpha 90.00
_cell_angle_beta 90.00
_cell_angle_gamma 90.00
loop_
_atom_site_label
_atom_site_type_symbol
_atom_site_fract_x
_atom_site_fract_y
_atom_site_fract_z
_atom_site_occupancy
Cs1 Cs 0.000 0.000 0.000 1
Al1 Al 0.500 0.500 0.500 1
Co1 Co 0.000 0.500 0.500 1

Record 6
# Pm7NdDy3 | Alexandria | PBE | relaxed
# * E_form: 1.4 eV/f.u.
# * total magnetization: 0.0 Bohr magnetons per cell
data_Pm7NdDy3
_chemical_formula_sum 'Pm7 Nd1 Dy3'
_space_group_name_H-M_alt 'P -1'
_space_group_IT_number 2
_cell_length_a 6.578
_cell_length_b 6.777
_cell_length_c 8.766
_cell_angle_alpha 99.74
_cell_angle_beta 98.96
_cell_angle_gamma 95.87
loop_
_space_group_symop_operation_xyz
'x,y,z'
'-x,-y,-z'
loop_
_atom_site_label
_atom_site_type_symbol
_atom_site_fract_x
_atom_site_fract_y
_atom_site_fract_z
_atom_site_occupancy
Pm1 Pm 0.000 0.000 0.000 1
Pm2 Pm 0.055 0.711 0.641 1
Pm3 Pm 0.219 0.224 0.710 1
Pm4 Pm 0.484 0.738 0.915 1
Nd1 Nd 0.000 0.500 0.000 1
Dy1 Dy 0.312 0.934 0.337 1
Dy2 Dy 0.500 0.500 0.500 1

Record 7
# Hf2Mg2Rh | Alexandria | PBE | relaxed
# * E_form: 0.6 eV/f.u.
# * total magnetization: 0.0 Bohr magnetons per cell
data_Hf2Mg2Rh
_chemical_formula_sum 'Hf4 Mg4 Rh2'
_space_group_name_H-M_alt 'P 4/m b m'
_space_group_IT_number 127
_space_group_name_Hall '-P 4 2ab'
_cell_length_a 6.427
_cell_length_b 6.427
_cell_length_c 4.779
_cell_angle_alpha 90.00
_cell_angle_beta 90.00
_cell_angle_gamma 90.00
loop_
_atom_site_label
_atom_site_type_symbol
_atom_site_fract_x
_atom_site_fract_y
_atom_site_fract_z
_atom_site_occupancy
Hf1 Hf 0.172 0.328 0.000 1
Mg1 Mg 0.143 0.643 0.500 1
Rh1 Rh 0.000 0.000 0.500 1

Record 8
# BaAl4Cu9 | Alexandria | PBE | relaxed
# * E_form: -3.0 eV/f.u.
# * total magnetization: 0.0 Bohr magnetons per cell
data_BaAl4Cu9
_chemical_formula_sum 'Ba4 Al16 Cu36'
_space_group_name_H-M_alt 'I 4/m c m'
_space_group_IT_number 140
_space_group_name_Hall '-I 4 2c'
_cell_length_a 8.460
_cell_length_b 8.460
_cell_length_c 11.923
_cell_angle_alpha 90.00
_cell_angle_beta 90.00
_cell_angle_gamma 90.00
loop_
_atom_site_label
_atom_site_type_symbol
_atom_site_fract_x
_atom_site_fract_y
_atom_site_fract_z
_atom_site_occupancy
Ba1 Ba 0.000 0.000 0.250 1
Al1 Al 0.181 0.319 0.117 1
Cu1 Cu 0.000 0.500 0.000 1
Cu2 Cu 0.061 0.207 0.500 1
Cu3 Cu 0.114 0.386 0.321 1

Record 9
# Na4Ho3ThS8 | Alexandria | PBE | relaxed
# * E_form (uncorrected): -1.786 eV/atom
# * total magnetization: 0.0 Bohr magnetons per cell
data_Na4Ho3ThS8
_chemical_formula_sum 'Na12 Ho9 Th3 S24'
_space_group_name_H-M_alt 'R -3 m'
_space_group_IT_number 166
_space_group_name_Hall '-R 3 2"'
_cell_length_a 7.9667
_cell_length_b 7.9667
_cell_length_c 20.1312
_cell_angle_alpha 90.00
_cell_angle_beta 90.00
_cell_angle_gamma 120.00
loop_
_atom_site_label
_atom_site_type_symbol
_atom_site_fract_x
_atom_site_fract_y
_atom_site_fract_z
_atom_site_occupancy
Na1 Na 0.0000 0.0000 0.0000 1
Na2 Na 0.0000 0.5000 0.0000 1
Ho1 Ho 0.0000 0.5000 0.5000 1
Th1 Th 0.0000 0.0000 0.5000 1
S1 S 0.0000 0.0000 0.2420 1
S2 S 0.0046 0.5023 0.7562 1

Record 10
# Pm2IrRu | Alexandria | PBE | relaxed
# * E_form: -1.5 eV/f.u.
# * total magnetization: 0.0 Bohr magnetons per cell
data_Pm2IrRu
_chemical_formula_sum 'Pm8 Ir4 Ru4'
_space_group_name_H-M_alt 'F m -3 m'
_space_group_IT_number 225
_space_group_name_Hall '-F 4 2 3'
_cell_length_a 7.013
_cell_length_b 7.013
_cell_length_c 7.013
_cell_angle_alpha 90.00
_cell_angle_beta 90.00
_cell_angle_gamma 90.00
loop_
_atom_site_label
_atom_site_type_symbol
_atom_site_fract_x
_atom_site_fract_y
_atom_site_fract_z
_atom_site_occupancy
Pm1 Pm 0.250 0.250 0.250 1
Ir1 Ir 0.000 0.000 0.000 1
Ru1 Ru 0.000 0.000 0.500 1

Record 11
# AlPtO2 | Alexandria | PBE | relaxed
# * E_form (uncorrected): -1.603 eV/atom
# * total magnetization: 0.0 Bohr magnetons per cell
data_AlPtO2
_chemical_formula_sum 'Al4 Pt4 O8'
_space_group_name_H-M_alt 'C 1 2/c 1'
_space_group_IT_number 15
_cell_length_a 6.800
_cell_length_b 6.305
_cell_length_c 5.325
_cell_angle_alpha 90.00
_cell_angle_beta 111.68
_cell_angle_gamma 90.00
loop_
_space_group_symop_operation_xyz
'x,y,z'
'-x,-y,-z'
'-x,y,-z+1/2'
'x,-y,z+1/2'
'x+1/2,y+1/2,z'
'-x+1/2,-y+1/2,-z'
'-x+1/2,y+1/2,-z+1/2'
'x+1/2,-y+1/2,z+1/2'
loop_
_atom_site_label
_atom_site_type_symbol
_atom_site_fract_x
_atom_site_fract_y
_atom_site_fract_z
_atom_site_occupancy
Al1 Al 0.000 0.068 0.250 1
Pt1 Pt 0.000 0.471 0.250 1
O1 O 0.186 0.026 0.600 1

Record 12
# CrGeAs | Alexandria | PBE | relaxed
# * E_form: 0.3 eV/f.u.
# * total magnetization: 7.0 Bohr magnetons per cell
data_CrGeAs
_chemical_formula_sum 'Cr4 Ge4 As4'
_space_group_name_H-M_alt 'C 1 2/m 1'
_space_group_IT_number 12
_cell_length_a 16.633
_cell_length_b 2.805
_cell_length_c 4.330
_cell_angle_alpha 90.00
_cell_angle_beta 98.01
_cell_angle_gamma 90.00
loop_
_space_group_symop_operation_xyz
'x,y,z'
'-x,-y,-z'
'-x,y,-z'
'x,-y,z'
'x+1/2,y+1/2,z'
'-x+1/2,-y+1/2,-z'
'-x+1/2,y+1/2,-z'
'x+1/2,-y+1/2,z'
loop_
_atom_site_label
_atom_site_type_symbol
_atom_site_fract_x
_atom_site_fract_y
_atom_site_fract_z
_atom_site_occupancy
Cr1 Cr 0.170 0.000 0.333 1
Ge1 Ge 0.183 0.500 0.837 1
As1 As 0.044 0.500 0.275 1

Record 13
# CsIr4S8 | Alexandria | PBE | relaxed
# * E_form (uncorrected): -0.512 eV/atom
# * total magnetization: 0.0 Bohr magnetons per cell
data_CsIr4S8
_chemical_formula_sum 'Cs2 Ir8 S16'
_space_group_name_H-M_alt 'C 1 2/m 1'
_space_group_IT_number 12
_cell_length_a 15.774
_cell_length_b 3.651
_cell_length_c 11.200
_cell_angle_alpha 90.00
_cell_angle_beta 128.20
_cell_angle_gamma 90.00
loop_
_space_group_symop_operation_xyz
'x,y,z'
'-x,-y,-z'
'-x,y,-z'
'x,-y,z'
'x+1/2,y+1/2,z'
'-x+1/2,-y+1/2,-z'
'-x+1/2,y+1/2,-z'
'x+1/2,-y+1/2,z'
loop_
_atom_site_label
_atom_site_type_symbol
_atom_site_fract_x
_atom_site_fract_y
_atom_site_fract_z
_atom_site_occupancy
Cs1 Cs 0.000 0.000 0.000 1
Ir1 Ir 0.134 0.000 0.469 1
Ir2 Ir 0.159 0.500 0.819 1
S1 S 0.043 0.000 0.752 1
S2 S 0.107 0.500 0.575 1
S3 S 0.170 0.500 0.360 1
S4 S 0.215 0.500 0.076 1

Record 14
# CoSiAu4 | Alexandria | PBE | relaxed
# * E_form (uncorrected): 0.606 eV/atom
# * total magnetization: 7.8 Bohr magnetons per cell
data_CoSiAu4
_chemical_formula_sum 'Co4 Si4 Au16'
_space_group_name_H-M_alt 'F -4 3 m'
_space_group_IT_number 216
_space_group_name_Hall 'F -4 2 3'
_cell_length_a 7.701
_cell_length_b 7.701
_cell_length_c 7.701
_cell_angle_alpha 90.00
_cell_angle_beta 90.00
_cell_angle_gamma 90.00
loop_
_atom_site_label
_atom_site_type_symbol
_atom_site_fract_x
_atom_site_fract_y
_atom_site_fract_z
_atom_site_occupancy
Co1 Co 0.000 0.000 0.000 1
Si1 Si 0.250 0.250 0.750 1
Au1 Au 0.125 0.125 0.375 1

Record 15
# Ca2MgHRh | Alexandria | PBE | relaxed
# * energy: -17.7 eV per formula unit
# * total magnetization: 0.0 Bohr magnetons per cell
data_Ca2MgHRh
_chemical_formula_sum 'Ca2 Mg1 H1 Rh1'
_space_group_name_H-M_alt 'P 4/m m m'
_space_group_IT_number 123
_space_group_name_Hall '-P 4 2'
_cell_length_a 5.132
_cell_length_b 5.132
_cell_length_c 3.739
_cell_angle_alpha 90.00
_cell_angle_beta 90.00
_cell_angle_gamma 90.00
loop_
_atom_site_label
_atom_site_type_symbol
_atom_site_fract_x
_atom_site_fract_y
_atom_site_fract_z
_atom_site_occupancy
Ca1 Ca 0.000 0.500 0.000 1
Mg1 Mg 0.000 0.000 0.500 1
H1 H 0.500 0.500 0.000 1
Rh1 Rh 0.500 0.500 0.500 1

Record 16
# UNbW | Alexandria | PBE | relaxed
# * E_form: 1.8 eV/f.u.
# * total magnetization: 0.0 Bohr magnetons per cell
data_UNbW
_chemical_formula_sum 'U4 Nb4 W4'
_space_group_name_H-M_alt 'I 4/m m m'
_space_group_IT_number 139
_space_group_name_Hall '-I 4 2'
_cell_length_a 3.368
_cell_length_b 3.368
_cell_length_c 20.848
_cell_angle_alpha 90.00
_cell_angle_beta 90.00
_cell_angle_gamma 90.00
loop_
_atom_site_label
_atom_site_type_symbol
_atom_site_fract_x
_atom_site_fract_y
_atom_site_fract_z
_atom_site_occupancy
U1 U 0.000 0.000 0.219 1
Nb1 Nb 0.000 0.000 0.377 1
W1 W 0.000 0.000 0.060 1

Record 17
# PmSm5Tl2 | Alexandria | PBE | relaxed
# * E_form: -1.0 eV/f.u.
# * total magnetization: 0.0 Bohr magnetons per cell
data_PmSm5Tl2
_chemical_formula_sum 'Pm2 Sm10 Tl4'
_space_group_name_H-M_alt 'I m m m'
_space_group_IT_number 71
_space_group_name_Hall '-I 2 2'
_cell_length_a 3.713
_cell_length_b 10.806
_cell_length_c 12.704
_cell_angle_alpha 90.00
_cell_angle_beta 90.00
_cell_angle_gamma 90.00
loop_
_atom_site_label
_atom_site_type_symbol
_atom_site_fract_x
_atom_site_fract_y
_atom_site_fract_z
_atom_site_occupancy
Pm1 Pm 0.000 0.000 0.000 1
Sm1 Sm 0.000 0.223 0.363 1
Sm2 Sm 0.000 0.500 0.000 1
Tl1 Tl 0.000 0.500 0.269 1

Record 18
# Cu3Au5 | Alexandria | PBE | relaxed
# * E_form: -0.1 eV/f.u.
# * total magnetization: 0.0 Bohr magnetons per cell
data_Cu3Au5
_chemical_formula_sum 'Cu6 Au10'
_space_group_name_H-M_alt 'C m m m'
_space_group_IT_number 65
_space_group_name_Hall '-C 2 2'
_cell_length_a 7.856
_cell_length_b 8.180
_cell_length_c 3.981
_cell_angle_alpha 90.00
_cell_angle_beta 90.00
_cell_angle_gamma 90.00
loop_
_atom_site_label
_atom_site_type_symbol
_atom_site_fract_x
_atom_site_fract_y
_atom_site_fract_z
_atom_site_occupancy
Cu1 Cu 0.000 0.000 0.000 1
Cu2 Cu 0.000 0.255 0.500 1
Au1 Au 0.000 0.500 0.000 1
Au2 Au 0.227 0.000 0.500 1
Au3 Au 0.250 0.250 0.000 1

Record 19
# HfTiCrIn | Alexandria | PBE | relaxed
# * E_form: 0.1 eV/f.u.
# * total magnetization: 4.0 Bohr magnetons per cell
data_HfTiCrIn
_chemical_formula_sum 'Hf4 Ti4 Cr4 In4'
_space_group_name_H-M_alt 'F -4 3 m'
_space_group_IT_number 216
_space_group_name_Hall 'F -4 2 3'
_cell_length_a 6.644
_cell_length_b 6.644
_cell_length_c 6.644
_cell_angle_alpha 90.00
_cell_angle_beta 90.00
_cell_angle_gamma 90.00
loop_
_atom_site_label
_atom_site_type_symbol
_atom_site_fract_x
_atom_site_fract_y
_atom_site_fract_z
_atom_site_occupancy
Hf1 Hf 0.000 0.000 0.000 1
Ti1 Ti 0.250 0.250 0.750 1
Cr1 Cr 0.250 0.250 0.250 1
In1 In 0.000 0.000 0.500 1

Record 20
# Ho2RhBr | Alexandria | PBE | relaxed
# * E_form (uncorrected): -1.069 eV/atom
# * total magnetization: 0.0 Bohr magnetons per cell
data_Ho2RhBr
_chemical_formula_sum 'Ho6 Rh3 Br3'
_space_group_name_H-M_alt 'R 3 m'
_space_group_IT_number 160
_space_group_name_Hall 'R 3 -2"'
_cell_length_a 3.9801
_cell_length_b 3.9801
_cell_length_c 23.0844
_cell_angle_alpha 90.00
_cell_angle_beta 90.00
_cell_angle_gamma 120.00
loop_
_atom_site_label
_atom_site_type_symbol
_atom_site_fract_x
_atom_site_fract_y
_atom_site_fract_z
_atom_site_occupancy
Ho1 Ho 0.0000 0.0000 0.0000 1
Ho2 Ho 0.0000 0.0000 0.2066 1
Rh1 Rh 0.0000 0.0000 0.6027 1
Br1 Br 0.0000 0.0000 0.4316 1